1.
Material: MgCoBr2
Method: DFT, GGA-PBEsol
State: optimized geometry

Summary:
- Distance to the lowest polymorph of the same formula: 280 meV per atom

Cell lengths 3.3301, 4.6640, 4.6640 Å; angles 90.00, 90.00, 90.00 degrees
Last column: nearest neighbours and their distance in Å.
Positions (direct):
1 Co 0.5000 0.5000 0.5000  8 Br 2.87
2 Br 0.0000 0.0000 0.5000  4 Mg 2.87, 4 Co 2.87
3 Br 0.0000 0.5000 0.0000  4 Co 2.87, 4 Mg 2.87
4 Mg 0.5000 0.0000 0.0000  8 Br 2.87

=====

2.
Material: MgCo2Br
Method: DFT, GGA-PBEsol
State: optimized geometry

Summary:
- Distance to the lowest polymorph of the same formula: 64 meV per atom

Cell lengths 4.2880, 4.2880, 4.2880 Å; angles 60.00, 60.00, 60.00 degrees
Last column: nearest neighbours and their distance in Å.
Positions (direct):
1 Co 0.7500 0.7500 0.7500  4 Br 2.63, 4 Mg 2.63
2 Co 0.2500 0.2500 0.2500  4 Br 2.63, 4 Mg 2.63
3 Mg 0.5000 0.5000 0.5000  8 Co 2.63
4 Br 0.0000 0.0000 0.0000  8 Co 2.63

=====

3.
Material: MgCoBr2
Method: DFT, GGA-PBEsol
State: optimized geometry

Summary:
- Distance to the lowest polymorph of the same formula: 144 meV per atom

Cell lengths 3.3113, 5.8031, 5.8031 Å; angles 70.04, 73.42, 73.42 degrees
Last column: nearest neighbours and their distance in Å.
Positions (direct):
1 Co 0.4889 0.5111 0.5111  2 Br 2.30
2 Br 0.8092 0.6908 0.6908  2 Co 2.30
3 Br 0.9617 0.0383 0.0383  2 Mg 2.58
4 Mg 0.2402 0.2598 0.2598  2 Br 2.58, 2 Co 2.78

=====

4.
Material: MgCoBr3
Method: DFT, GGA-PBEsol
State: optimized geometry

Summary:
- Uncorrected energy: -16.36 eV per cell

Cell lengths 4.8244, 4.8244, 4.8244 Å; angles 90.00, 90.00, 90.00 degrees
Last column: nearest neighbours and their distance in Å.
Positions (direct):
1 Co 0.0000 0.0000 0.0000  6 Br 2.41
2 Br 0.0000 0.5000 0.0000  2 Co 2.41
3 Br 0.0000 0.0000 0.5000  2 Co 2.41
4 Br 0.5000 0.0000 0.0000  2 Co 2.41
5 Mg 0.5000 0.5000 0.5000  12 Br 3.41

=====

5.
Material: MgCoBr2
Method: DFT, GGA-PBEsol
State: optimized geometry

Summary:
- Distance to the lowest polymorph of the same formula: 0 meV per atom

Cell lengths 3.2642, 3.2642, 7.8757 Å; angles 90.00, 90.00, 90.00 degrees
Last column: nearest neighbours and their distance in Å.
Positions (direct):
1 Mg 0.5000 0.5000 0.7298  5 Br 2.78-2.99, 4 Co 2.97
2 Br 0.0000 0.0000 0.9277  4 Mg 2.78
3 Br 0.5000 0.5000 0.3503  4 Co 2.56
4 Co 0.0000 0.0000 0.4922  4 Br 2.56

=====

6.
Material: Mg2CoBr
Method: DFT, GGA-PBEsol
State: optimized geometry

Summary:
- Uncorrected energy: -12.65 eV per cell

Cell lengths 3.1560, 4.7356, 4.7356 Å; angles 90.00, 90.00, 90.00 degrees
Last column: nearest neighbours and their distance in Å.
Positions (direct):
1 Mg 0.0000 0.5000 0.0000  4 Br 2.85, 4 Co 2.85, 2 Mg 3.16
2 Mg 0.0000 0.0000 0.5000  4 Co 2.85, 4 Br 2.85, 2 Mg 3.16
3 Br 0.5000 0.5000 0.5000  8 Mg 2.85, 2 Br 3.16
4 Co 0.5000 0.0000 0.0000  8 Mg 2.85, 2 Co 3.16

=====

7.
Material: MgCo2Br
Method: DFT, GGA-PBEsol
State: optimized geometry

Summary:
- Distance to the lowest polymorph of the same formula: 94 meV per atom

Cell lengths 2.9600, 2.9600, 8.1042 Å; angles 90.00, 90.00, 117.91 degrees
Last column: nearest neighbours and their distance in Å.
Positions (direct):
1 Co 0.0000 0.0000 0.2387  2 Br 2.46, 2 Mg 2.61
2 Co 0.0000 0.0000 0.7613  2 Br 2.46, 2 Mg 2.61
3 Mg 0.5000 0.5000 0.5000  4 Co 2.61
4 Br 0.5000 0.5000 0.0000  4 Co 2.46

=====

8.
Material: MgCo2Br2
Method: DFT, GGA-PBEsol
State: optimized geometry

Summary:
- Uncorrected energy: -20.17 eV per cell

Cell lengths 3.2612, 3.2612, 10.3850 Å; angles 99.03, 99.03, 90.00 degrees
Last column: nearest neighbours and their distance in Å.
Positions (direct):
1 Br 0.5807 0.5807 0.1613  4 Mg 2.83
2 Br 0.4193 0.4193 0.8387  4 Mg 2.83
3 Mg 0.0000 0.0000 0.0000  8 Br 2.83
4 Co 0.7500 0.2500 0.5000  4 Co 2.31
5 Co 0.2500 0.7500 0.5000  4 Co 2.31

=====

9.
Material: MgCoSeBr2
Method: DFT, GGA-PBEsol
State: optimized geometry

Summary:
- Uncorrected energy: -15.67 eV per cell

Cell lengths 4.9791, 4.9791, 5.1940 Å; angles 90.00, 90.00, 90.00 degrees
Last column: nearest neighbours and their distance in Å.
Positions (direct):
1 Co 0.5000 0.5000 0.5000  4 Se 3.52, 8 Br 3.60
2 Se 0.0000 0.0000 0.5000  2 Mg 2.60
3 Mg 0.0000 0.0000 0.0000  4 Br 2.49, 2 Se 2.60
4 Br 0.5000 0.0000 0.0000  2 Mg 2.49
5 Br 0.0000 0.5000 0.0000  2 Mg 2.49

=====

10.
Material: MnCoBr
Method: DFT, GGA-PBEsol
State: optimized geometry

Summary:
- Uncorrected energy: -17.54 eV per cell

Cell lengths 3.1396, 4.0027, 4.0027 Å; angles 120.00, 90.00, 90.00 degrees
Last column: nearest neighbours and their distance in Å.
Positions (direct):
1 Br 0.8639 0.0000 0.0000  3 Co 2.32
2 Mn 0.3455 0.3333 0.6667  6 Co 2.70-2.89, 6 Br 2.76-2.83
3 Co 0.7905 0.6667 0.3333  3 Br 2.32

=====

11.
Material: Co2MoBr
Method: DFT, GGA-PBEsol
State: optimized geometry

Summary:
- Distance to the lowest polymorph of the same formula: 316 meV per atom

Cell lengths 4.1898, 4.1898, 4.1898 Å; angles 60.00, 60.00, 60.00 degrees
Last column: nearest neighbours and their distance in Å.
Positions (direct):
1 Co 0.7500 0.7500 0.7500  4 Br 2.57, 4 Co 2.57
2 Co 0.0000 0.0000 0.0000  4 Co 2.57, 4 Mo 2.57
3 Mo 0.2500 0.2500 0.2500  4 Co 2.57, 4 Br 2.57
4 Br 0.5000 0.5000 0.5000  4 Mo 2.57, 4 Co 2.57

=====

12.
Material: CoMoBr2
Method: DFT, GGA-PBEsol
State: optimized geometry

Summary:
- Distance to the lowest polymorph of the same formula: 777 meV per atom

Cell lengths 3.1348, 4.4748, 4.4748 Å; angles 90.00, 90.00, 90.00 degrees
Last column: nearest neighbours and their distance in Å.
Positions (direct):
1 Co 0.5000 0.5000 0.5000  8 Br 2.73
2 Br 0.0000 0.0000 0.5000  4 Mo 2.73, 4 Co 2.73
3 Br 0.0000 0.5000 0.0000  4 Co 2.73, 4 Mo 2.73
4 Mo 0.5000 0.0000 0.0000  8 Br 2.73